1.
Here is an optimized crystal structure of Ac2B2Os2C from the Alexandria database. Energies are from PBE.

ρ in g cm⁻³: 11.25
Calculated total energy in Ry per atom: -0.579
D(E_F) in states/eV/atom: 0.5177
E_form in eV/atom: -0.2695

a = 3.897 Å, b = 5.923 Å, c = 6.366 Å
α = 71.40°, β = 72.18°, γ = 70.79°
Atoms (fractional coordinates):
C  0.000  0.000  0.000
B  0.789  0.629  0.793
Os  0.803  0.309  0.085
Ac  0.432  0.810  0.326
Os  0.197  0.691  0.915
B  0.211  0.371  0.207
Ac  0.568  0.190  0.674

***

2.
Here is an optimized crystal structure of KPm3Rh from the Alexandria database. Energies are from PBE.

ρ in g cm⁻³: 5.25
Calculated total energy in Ry per atom: -0.340
D(E_F) in states/eV/atom: 0.6900
E_form in eV/atom: -0.0824

a = 5.673 Å, b = 5.673 Å, c = 5.673 Å
α = 90.00°, β = 90.00°, γ = 90.00°
Atoms (fractional coordinates):
Rh  0.000  0.000  0.000
K  0.500  0.500  0.500
Pm  0.000  0.500  0.000
Pm  0.000  0.000  0.500
Pm  0.500  0.000  0.000

***

3.
Here is an optimized crystal structure of RePBr2 from the Alexandria database. Energies are from PBE.

ρ in g cm⁻³: 6.31
Calculated total energy in Ry per atom: -0.368
D(E_F) in states/eV/atom: 0.2360
Offset from the most stable computed form in eV/atom: 0.2976

a = 9.353 Å, b = 9.353 Å, c = 6.992 Å
α = 48.02°, β = 48.02°, γ = 90.00°
Atoms (fractional coordinates):
Br  0.875  0.017  0.750
P  0.500  0.500  0.000
P  0.250  0.750  0.500
Re  0.000  0.000  0.000
Br  0.375  0.233  0.750
Br  0.767  0.125  0.250
Re  0.750  0.250  0.500
Br  0.983  0.625  0.250

***

4.
Here is an optimized crystal structure of Sr2TlZn from the Alexandria database. Energies are from PBE.

ρ in g cm⁻³: 5.73
Calculated total energy in Ry per atom: -0.151
D(E_F) in states/eV/atom: 0.8139
E_form in eV/atom: -0.3010

a = 4.025 Å, b = 3.949 Å, c = 9.024 Å
α = 64.08°, β = 90.00°, γ = 90.00°
Atoms (fractional coordinates):
Sr  0.000  0.488  0.513
Zn  0.500  0.750  0.750
Sr  0.000  0.012  0.987
Tl  0.500  0.250  0.250

***

5.
Here is an optimized crystal structure of Rb2NdTmSe4 from the Alexandria database. Energies are from PBE.

ρ in g cm⁻³: 5.21
Calculated total energy in Ry per atom: -0.357
D(E_F) in states/eV/atom: 0.0000

a = 4.287 Å, b = 7.427 Å, c = 8.378 Å
α = 107.16°, β = 90.00°, γ = 90.00°
Atoms (fractional coordinates):
Rb  0.000  0.500  0.500
Se  0.500  0.222  0.195
Nd  0.500  0.500  0.000
Tm  0.000  0.000  0.000
Se  0.500  0.778  0.805
Rb  0.500  0.000  0.500
Se  0.000  0.257  0.801
Se  0.000  0.743  0.199

***

6.
Here is an optimized crystal structure of Li2Pr2Br7 from the Alexandria database. Energies are from PBE.

ρ in g cm⁻³: 3.53
Calculated total energy in Ry per atom: -0.285

a = 7.858 Å, b = 7.315 Å, c = 7.315 Å
α = 104.48°, β = 95.49°, γ = 95.49°
Atoms (fractional coordinates):
Br  0.298  0.942  0.580
Li  0.899  0.235  0.235
Pr  0.500  0.667  0.333
Br  0.702  0.420  0.058
Br  0.000  0.000  0.000
Pr  0.500  0.333  0.667
Li  0.101  0.765  0.765
Br  0.782  0.593  0.593
Br  0.298  0.580  0.942
Br  0.702  0.058  0.420
Br  0.218  0.407  0.407

***

> Which formula does entry 5 have?

Rb2NdTmSe4